(1)
## HgPtW2 (PBE-GGA)

Data for a geometry-optimized HgPtW2 structure.

Output
energy of formation: 1.8 eV per formula unit
mass density: 18.87 Mg/m³
electronic total energy: -7.606 eV per atom
space-group type: No. 123

Geometry as CIF:
```
data_HgPtW2
_chemical_formula_sum 'Hg1 Pt1 W2'
_space_group_name_H-M_alt 'P 1'
_space_group_IT_number 1
_space_group_name_Hall 'P 1'
_cell_length_a 3.926
_cell_length_b 3.926
_cell_length_c 4.359
_cell_angle_alpha 90.00
_cell_angle_beta 90.00
_cell_angle_gamma 90.00
loop_
_atom_site_label
_atom_site_type_symbol
_atom_site_fract_x
_atom_site_fract_y
_atom_site_fract_z
_atom_site_occupancy
Hg1 Hg 0.000 0.000 0.000 1
Pt1 Pt 0.500 0.500 0.000 1
W1 W 0.000 0.500 0.500 1
W2 W 0.500 0.000 0.500 1
```

=====

(2)
## Ca2MgNi2 (PBE-GGA)

Data for a geometry-optimized Ca2MgNi2 structure.

Output
energy of formation: 0.4 eV per formula unit
mass density: 3.16 Mg/m³
electronic total energy: -3.358 eV per atom
space-group type: No. 139

Geometry as CIF:
```
data_Ca2MgNi2
_chemical_formula_sum 'Ca2 Mg1 Ni2'
_space_group_name_H-M_alt 'P 1'
_space_group_IT_number 1
_space_group_name_Hall 'P 1'
_cell_length_a 10.200
_cell_length_b 10.200
_cell_length_c 10.200
_cell_angle_alpha 160.64
_cell_angle_beta 160.64
_cell_angle_gamma 27.51
loop_
_atom_site_label
_atom_site_type_symbol
_atom_site_fract_x
_atom_site_fract_y
_atom_site_fract_z
_atom_site_occupancy
Ca1 Ca 0.134 0.134 0.000 1
Ca2 Ca 0.866 0.866 0.000 1
Mg1 Mg 0.500 0.500 0.000 1
Ni1 Ni 0.250 0.750 0.500 1
Ni2 Ni 0.750 0.250 0.500 1
```

=====

(3)
## AcNdSc2 (PBE-GGA)

Data for a geometry-optimized AcNdSc2 structure.

Output
energy of formation: 0.3 eV per formula unit
mass density: 6.10 Mg/m³
electronic total energy: -5.300 eV per atom
space-group type: No. 123

Geometry as CIF:
```
data_AcNdSc2
_chemical_formula_sum 'Ac1 Nd1 Sc2'
_space_group_name_H-M_alt 'P 1'
_space_group_IT_number 1
_space_group_name_Hall 'P 1'
_cell_length_a 5.335
_cell_length_b 5.335
_cell_length_c 4.412
_cell_angle_alpha 90.00
_cell_angle_beta 90.00
_cell_angle_gamma 90.00
loop_
_atom_site_label
_atom_site_type_symbol
_atom_site_fract_x
_atom_site_fract_y
_atom_site_fract_z
_atom_site_occupancy
Ac1 Ac 0.000 0.000 0.000 1
Nd1 Nd 0.500 0.500 0.000 1
Sc1 Sc 0.000 0.500 0.500 1
Sc2 Sc 0.500 0.000 0.500 1
```

=====

(4)
## YFe2Ru (PBE-GGA)

Data for a geometry-optimized YFe2Ru structure.

Output
energy of formation: 1.3 eV per formula unit
mass density: 7.93 Mg/m³
electronic total energy: -7.830 eV per atom
space-group type: No. 12

Geometry as CIF:
```
data_YFe2Ru
_chemical_formula_sum 'Y1 Fe2 Ru1'
_space_group_name_H-M_alt 'P 1'
_space_group_IT_number 1
_space_group_name_Hall 'P 1'
_cell_length_a 5.067
_cell_length_b 5.067
_cell_length_c 2.893
_cell_angle_alpha 99.67
_cell_angle_beta 99.67
_cell_angle_gamma 116.21
loop_
_atom_site_label
_atom_site_type_symbol
_atom_site_fract_x
_atom_site_fract_y
_atom_site_fract_z
_atom_site_occupancy
Y1 Y 0.000 0.000 0.000 1
Fe1 Fe 0.000 0.500 0.500 1
Fe2 Fe 0.500 0.000 0.500 1
Ru1 Ru 0.500 0.500 0.000 1
```

=====

(5)
## Fe6MoW (PBE-GGA)

Data for a geometry-optimized Fe6MoW structure.

Output
energy of formation: 0.6 eV per formula unit
mass density: 10.79 Mg/m³
electronic total energy: -9.240 eV per atom
space-group type: No. 65

Geometry as CIF:
```
data_Fe6MoW
_chemical_formula_sum 'Fe24 Mo4 W4'
_space_group_name_H-M_alt 'P 1'
_space_group_IT_number 1
_space_group_name_Hall 'P 1'
_cell_length_a 6.263
_cell_length_b 6.263
_cell_length_c 10.233
_cell_angle_alpha 90.00
_cell_angle_beta 90.00
_cell_angle_gamma 109.46
loop_
_atom_site_label
_atom_site_type_symbol
_atom_site_fract_x
_atom_site_fract_y
_atom_site_fract_z
_atom_site_occupancy
Fe1 Fe 0.000 0.000 0.000 1
Fe2 Fe 0.000 0.000 0.500 1
Fe3 Fe 0.124 0.375 0.125 1
Fe4 Fe 0.124 0.375 0.875 1
Fe5 Fe 0.125 0.374 0.375 1
Fe6 Fe 0.125 0.374 0.625 1
Fe7 Fe 0.250 0.750 0.250 1
Fe8 Fe 0.250 0.750 0.750 1
Fe9 Fe 0.374 0.125 0.375 1
Fe10 Fe 0.374 0.125 0.625 1
Fe11 Fe 0.375 0.124 0.125 1
Fe12 Fe 0.375 0.124 0.875 1
Fe13 Fe 0.500 0.500 0.000 1
Fe14 Fe 0.500 0.500 0.500 1
Fe15 Fe 0.625 0.876 0.125 1
Fe16 Fe 0.625 0.876 0.875 1
Fe17 Fe 0.626 0.875 0.375 1
Fe18 Fe 0.626 0.875 0.625 1
Fe19 Fe 0.750 0.250 0.250 1
Fe20 Fe 0.750 0.250 0.750 1
Fe21 Fe 0.875 0.626 0.375 1
Fe22 Fe 0.875 0.626 0.625 1
Fe23 Fe 0.876 0.625 0.125 1
Fe24 Fe 0.876 0.625 0.875 1
Mo1 Mo 0.000 0.000 0.250 1
Mo2 Mo 0.000 0.000 0.750 1
Mo3 Mo 0.250 0.750 0.000 1
Mo4 Mo 0.750 0.250 0.000 1
W1 W 0.250 0.750 0.500 1
W2 W 0.500 0.500 0.250 1
W3 W 0.500 0.500 0.750 1
W4 W 0.750 0.250 0.500 1
```

=====

(6)
## TePb2Br2O4 (PBE-GGA)

Data for a geometry-optimized TePb2Br2O4 structure.

Output
raw formation energy: -643 meV per atom
mass density: 7.40 Mg/m³
electronic total energy: -4.391 eV per atom
space-group type: No. 139

Geometry as CIF:
```
data_TePb2Br2O4
_chemical_formula_sum 'Te1 Pb2 Br2 O4'
_space_group_name_H-M_alt 'P 1'
_space_group_IT_number 1
_space_group_name_Hall 'P 1'
_cell_length_a 6.173
_cell_length_b 6.173
_cell_length_c 6.173
_cell_angle_alpha 117.60
_cell_angle_beta 117.60
_cell_angle_gamma 94.21
loop_
_atom_site_label
_atom_site_type_symbol
_atom_site_fract_x
_atom_site_fract_y
_atom_site_fract_z
_atom_site_occupancy
Te1 Te 0.000 0.000 0.000 1
Pb1 Pb 0.250 0.750 0.500 1
Pb2 Pb 0.750 0.250 0.500 1
Br1 Br 0.314 0.314 0.000 1
Br2 Br 0.686 0.686 0.000 1
O1 O 0.212 0.212 0.424 1
O2 O 0.212 0.788 0.000 1
O3 O 0.788 0.212 0.000 1
O4 O 0.788 0.788 0.576 1
```

=====

(7)
## SrNiSCl2 (PBE-GGA)

Data for a geometry-optimized SrNiSCl2 structure.

Output
raw formation energy: -1184 meV per atom
mass density: 4.00 Mg/m³
electronic total energy: -4.241 eV per atom
space-group type: No. 123

Geometry as CIF:
```
data_SrNiSCl2
_chemical_formula_sum 'Sr1 Ni1 S1 Cl2'
_space_group_name_H-M_alt 'P 1'
_space_group_IT_number 1
_space_group_name_Hall 'P 1'
_cell_length_a 4.643
_cell_length_b 4.643
_cell_length_c 4.796
_cell_angle_alpha 90.00
_cell_angle_beta 90.00
_cell_angle_gamma 90.00
loop_
_atom_site_label
_atom_site_type_symbol
_atom_site_fract_x
_atom_site_fract_y
_atom_site_fract_z
_atom_site_occupancy
Sr1 Sr 0.000 0.000 0.000 1
Ni1 Ni 0.500 0.500 0.500 1
S1 S 0.500 0.500 0.000 1
Cl1 Cl 0.000 0.500 0.500 1
Cl2 Cl 0.500 0.000 0.500 1
```

=====

(8)
## Cu3Pd3Au2 (PBE-GGA)

Data for a geometry-optimized Cu3Pd3Au2 structure.

Output
energy of formation: -0.8 eV per formula unit
mass density: 12.60 Mg/m³
electronic total energy: -4.402 eV per atom
space-group type: No. 47

Geometry as CIF:
```
data_Cu3Pd3Au2
_chemical_formula_sum 'Cu3 Pd3 Au2'
_space_group_name_H-M_alt 'P 1'
_space_group_IT_number 1
_space_group_name_Hall 'P 1'
_cell_length_a 3.740
_cell_length_b 4.004
_cell_length_c 7.957
_cell_angle_alpha 90.00
_cell_angle_beta 90.00
_cell_angle_gamma 90.00
loop_
_atom_site_label
_atom_site_type_symbol
_atom_site_fract_x
_atom_site_fract_y
_atom_site_fract_z
_atom_site_occupancy
Cu1 Cu 0.000 0.000 0.000 1
Cu2 Cu 0.000 0.500 0.250 1
Cu3 Cu 0.000 0.500 0.750 1
Pd1 Pd 0.000 0.000 0.500 1
Pd2 Pd 0.500 0.500 0.000 1
Pd3 Pd 0.500 0.500 0.500 1
Au1 Au 0.500 0.000 0.242 1
Au2 Au 0.500 0.000 0.758 1
```

=====

(9)
## CsTeRuN2 (PBE-GGA)

Data for a geometry-optimized CsTeRuN2 structure.

Output
raw formation energy: 2748 meV per atom
mass density: 4.47 Mg/m³
electronic total energy: -3.237 eV per atom
space-group type: No. 123

Geometry as CIF:
```
data_CsTeRuN2
_chemical_formula_sum 'Cs1 Te1 Ru1 N2'
_space_group_name_H-M_alt 'P 1'
_space_group_IT_number 1
_space_group_name_Hall 'P 1'
_cell_length_a 4.337
_cell_length_b 4.337
_cell_length_c 7.696
_cell_angle_alpha 90.00
_cell_angle_beta 90.00
_cell_angle_gamma 90.00
loop_
_atom_site_label
_atom_site_type_symbol
_atom_site_fract_x
_atom_site_fract_y
_atom_site_fract_z
_atom_site_occupancy
Cs1 Cs 0.000 0.000 0.000 1
Te1 Te 0.000 0.000 0.500 1
Ru1 Ru 0.500 0.500 0.500 1
N1 N 0.000 0.500 0.000 1
N2 N 0.500 0.000 0.000 1
```

=====

(10)
## Ce2As (PBE-GGA)

Data for a geometry-optimized Ce2As structure.

Output
energy of formation: -2.6 eV per formula unit
mass density: 7.65 Mg/m³
electronic total energy: -6.373 eV per atom
space-group type: No. 11

Geometry as CIF:
```
data_Ce2As
_chemical_formula_sum 'Ce4 As2'
_space_group_name_H-M_alt 'P 1'
_space_group_IT_number 1
_space_group_name_Hall 'P 1'
_cell_length_a 4.244
_cell_length_b 4.215
_cell_length_c 8.620
_cell_angle_alpha 90.00
_cell_angle_beta 90.57
_cell_angle_gamma 90.00
loop_
_atom_site_label
_atom_site_type_symbol
_atom_site_fract_x
_atom_site_fract_y
_atom_site_fract_z
_atom_site_occupancy
Ce1 Ce 0.221 0.250 0.003 1
Ce2 Ce 0.244 0.750 0.365 1
Ce3 Ce 0.756 0.250 0.635 1
Ce4 Ce 0.779 0.750 0.997 1
As1 As 0.260 0.750 0.727 1
As2 As 0.740 0.250 0.273 1
```

=====

(11)
## Sc2BeAl2Ni5 (PBE-GGA)

Data for a geometry-optimized Sc2BeAl2Ni5 structure.

Output
energy of formation: -3.7 eV per formula unit
mass density: 5.55 Mg/m³
electronic total energy: -5.648 eV per atom
space-group type: No. 127

Geometry as CIF:
```
data_Sc2BeAl2Ni5
_chemical_formula_sum 'Sc4 Be2 Al4 Ni10'
_space_group_name_H-M_alt 'P 1'
_space_group_IT_number 1
_space_group_name_Hall 'P 1'
_cell_length_a 9.752
_cell_length_b 9.752
_cell_length_c 2.810
_cell_angle_alpha 90.00
_cell_angle_beta 90.00
_cell_angle_gamma 90.00
loop_
_atom_site_label
_atom_site_type_symbol
_atom_site_fract_x
_atom_site_fract_y
_atom_site_fract_z
_atom_site_occupancy
Sc1 Sc 0.169 0.331 0.000 1
Sc2 Sc 0.331 0.831 0.000 1
Sc3 Sc 0.669 0.169 0.000 1
Sc4 Sc 0.831 0.669 0.000 1
Be1 Be 0.000 0.000 0.000 1
Be2 Be 0.500 0.500 0.000 1
Al1 Al 0.136 0.636 0.000 1
Al2 Al 0.364 0.136 0.000 1
Al3 Al 0.636 0.864 0.000 1
Al4 Al 0.864 0.364 0.000 1
Ni1 Ni 0.000 0.500 0.500 1
Ni2 Ni 0.047 0.818 0.500 1
Ni3 Ni 0.182 0.047 0.500 1
Ni4 Ni 0.318 0.547 0.500 1
Ni5 Ni 0.453 0.318 0.500 1
Ni6 Ni 0.500 0.000 0.500 1
Ni7 Ni 0.547 0.682 0.500 1
Ni8 Ni 0.682 0.453 0.500 1
Ni9 Ni 0.818 0.953 0.500 1
Ni10 Ni 0.953 0.182 0.500 1
```

=====

(12)
## K2LiGaBr4 (PBE-GGA)

Data for a geometry-optimized K2LiGaBr4 structure.

Output
raw formation energy: -1344 meV per atom
mass density: 3.08 Mg/m³
electronic total energy: -3.073 eV per atom
space-group type: No. 74

Geometry as CIF:
```
data_K2LiGaBr4
_chemical_formula_sum 'K4 Li2 Ga2 Br8'
_space_group_name_H-M_alt 'P 1'
_space_group_IT_number 1
_space_group_name_Hall 'P 1'
_cell_length_a 8.960
_cell_length_b 8.960
_cell_length_c 8.960
_cell_angle_alpha 119.92
_cell_angle_beta 119.49
_cell_angle_gamma 90.51
loop_
_atom_site_label
_atom_site_type_symbol
_atom_site_fract_x
_atom_site_fract_y
_atom_site_fract_z
_atom_site_occupancy
K1 K 0.000 0.000 0.000 1
K2 K 0.500 0.000 0.000 1
K3 K 0.500 0.000 0.500 1
K4 K 0.500 0.500 0.500 1
Li1 Li 0.000 0.000 0.500 1
Li2 Li 0.000 0.500 0.000 1
Ga1 Ga 0.000 0.500 0.500 1
Ga2 Ga 0.500 0.500 0.000 1
Br1 Br 0.220 0.746 0.474 1
Br2 Br 0.227 0.235 0.508 1
Br3 Br 0.227 0.720 0.992 1
Br4 Br 0.228 0.254 0.974 1
Br5 Br 0.772 0.746 0.026 1
Br6 Br 0.773 0.280 0.008 1
Br7 Br 0.773 0.765 0.492 1
Br8 Br 0.780 0.254 0.526 1
```